This record from Alexandria via LeMat-Bulk describes crystalline Co3OF5 at its relaxed geometry. The functional is PBE+U.

abc: 4.692 4.692 9.400
angles: 90.00 90.00 87.66
Site moments in Bohr magnetons follow the coordinates.
Element x y z (fractional)
Co (0.013, 0.987, 0.009)  2.67
Co (0.015, 0.985, 0.333)  2.18
Co (0.013, 0.987, 0.658)  2.67
Co (0.480, 0.520, 0.170)  2.54
Co (0.511, 0.489, 0.833)  2.78
Co (0.480, 0.520, 0.496)  2.54
O (0.191, 0.809, 0.177)  -0.10
O (0.191, 0.809, 0.490)  -0.10
F (0.204, 0.796, 0.833)  0.07
F (0.295, 0.309, 0.333)  0.07
F (0.305, 0.303, 0.003)  0.07
F (0.305, 0.303, 0.664)  0.07
F (0.697, 0.695, 0.664)  0.07
F (0.697, 0.695, 0.003)  0.07
F (0.691, 0.705, 0.333)  0.07
F (0.797, 0.203, 0.176)  0.03
F (0.819, 0.181, 0.833)  0.06
F (0.797, 0.203, 0.491)  0.03

Output
DOS(E_F), states/eV/f.u.: 2.5
E, eV/atom: -5.115
ρ, g cm⁻³: 4.6
Relative energy among the computed polymorphs, meV per atom: 36